Record 1
Compound: Sr3InPd8
Source: Alexandria via LeMat-Bulk
Functional: GGA-PBE
Structure: optimized geometry

Values from the calculation:
Its formation energy from the elements is -572.2 meV per atom. The calculated volume comes out at 723.8 Å³/cell. For the total moment, the calculation gives 0.00 Bohr magnetons per cell.

```
data_Sr3InPd8
_chemical_formula_sum 'Sr9 In3 Pd24'
_cell_length_a 5.5425
_cell_length_b 5.5425
_cell_length_c 27.2067
_cell_angle_alpha 90.00
_cell_angle_beta 90.00
_cell_angle_gamma 120.00
_space_group_name_H-M_alt 'R 3 m'
_space_group_IT_number 160
_space_group_name_Hall 'R 3 -2"'
loop_
_atom_site_label
_atom_site_type_symbol
_atom_site_fract_x
_atom_site_fract_y
_atom_site_fract_z
_atom_site_occupancy
Sr1 Sr 0.0000 0.0000 0.0000 1
Sr2 Sr 0.0000 0.0000 0.1272 1
Sr3 Sr 0.0000 0.0000 0.5074 1
In1 In 0.0000 0.0000 0.6299 1
Pd1 Pd 0.0000 0.0000 0.3149 1
Pd2 Pd 0.0000 0.0000 0.8156 1
Pd3 Pd 0.0005 0.5003 0.5668 1
Pd4 Pd 0.1681 0.3363 0.3973 1
```

***

Record 2
Compound: Sr2In2Pd15
Source: Alexandria via LeMat-Bulk
Functional: GGA-PBE
Structure: optimized geometry

Values from the calculation:
Its formation energy from the elements is -339.3 meV per atom. The calculated volume comes out at 1046.0 Å³/cell. For the total moment, the calculation gives 0.00 Bohr magnetons per cell.

```
data_Sr2In2Pd15
_chemical_formula_sum 'Sr6 In6 Pd45'
_cell_length_a 9.3160
_cell_length_b 9.3160
_cell_length_c 13.9175
_cell_angle_alpha 90.00
_cell_angle_beta 90.00
_cell_angle_gamma 120.00
_space_group_name_H-M_alt 'R -3 m'
_space_group_IT_number 166
_space_group_name_Hall '-R 3 2"'
loop_
_atom_site_label
_atom_site_type_symbol
_atom_site_fract_x
_atom_site_fract_y
_atom_site_fract_z
_atom_site_occupancy
Sr1 Sr 0.0000 0.0000 0.1492 1
In1 In 0.0000 0.0000 0.3965 1
Pd1 Pd 0.0000 0.2983 0.5000 1
Pd2 Pd 0.0000 0.5000 0.0000 1
Pd3 Pd 0.0007 0.5003 0.3465 1
```

***

Record 3
Compound: Sr3In9Pd2
Source: Alexandria via LeMat-Bulk
Functional: GGA-PBE
Structure: optimized geometry

Values from the calculation:
Its formation energy from the elements is -434.9 meV per atom. The calculated volume comes out at 737.5 Å³/cell. For the total moment, the calculation gives 0.00 Bohr magnetons per cell.

```
data_Sr3In9Pd2
_chemical_formula_sum 'Sr6 In18 Pd4'
_cell_length_a 4.7639
_cell_length_b 11.2242
_cell_length_c 13.7924
_cell_angle_alpha 90.00
_cell_angle_beta 90.00
_cell_angle_gamma 90.00
_space_group_name_H-M_alt 'I m m m'
_space_group_IT_number 71
_space_group_name_Hall '-I 2 2'
loop_
_atom_site_label
_atom_site_type_symbol
_atom_site_fract_x
_atom_site_fract_y
_atom_site_fract_z
_atom_site_occupancy
Sr1 Sr 0.0000 0.0000 0.0000 1
Sr2 Sr 0.0000 0.0000 0.3165 1
In1 In 0.0000 0.2820 0.1236 1
In2 In 0.0000 0.3664 0.3364 1
In3 In 0.0000 0.5000 0.0000 1
Pd1 Pd 0.0000 0.2190 0.5000 1
```